1.
The following is a PBE calculation of an optimized crystal structure of Mg3ZrBe, from Alexandria.

```
5
Lattice="5.6291 0.0000 0.0000 0.0000 5.6291 0.0000 0.0000 0.0000 5.6291" Properties=species:S:1:pos:R:3 pbc="T T T"
Mg 0.0000 0.0000 2.8146
Mg 0.0000 2.8146 0.0000
Mg 2.8146 0.0000 0.0000
Zr 0.0000 0.0000 0.0000
Be 2.8146 2.8146 2.8146
```

Calculated values
density: 1.612 g/cm3
V: 35.674 A^3/atom
calculated formation energy: 1.641 eV per atom



2.
The following is a PBE calculation of an optimized crystal structure of Ce4OsSe3, from Alexandria.

```
8
Lattice="4.2703 -5.9188 0.0000 4.2703 5.9188 0.0000 0.0000 0.0000 4.1047" Properties=species:S:1:pos:R:3 pbc="T T T"
Ce 1.9645 0.0000 2.0523
Ce 4.2703 3.1111 0.0000
Ce 4.2703 -3.1111 0.0000
Ce 6.5760 0.0000 2.0523
Os 0.0000 0.0000 0.0000
Se 2.1351 2.9594 2.0523
Se 2.1351 -2.9594 2.0523
Se 4.2703 0.0000 0.0000
```

Calculated values
ΔE_f (raw): -1.359 eV per atom
density: 7.904 g/cm3
V: 25.936 A^3/atom



3.
The following is a PBE calculation of an optimized crystal structure of NaNb2CrP, from Alexandria.

```
5
Lattice="4.6411 0.0000 0.0000 0.0000 4.6411 0.0000 0.0000 0.0000 4.3715" Properties=species:S:1:pos:R:3 pbc="T T T"
Na 0.0000 0.0000 0.0000
Nb 0.0000 2.3206 0.0000
Nb 2.3206 0.0000 0.0000
Cr 2.3206 2.3206 2.1857
P 0.0000 0.0000 2.1857
```

Calculated values
density: 5.145 g/cm3
V: 18.832 A^3/atom
calculated formation energy: 2.264 eV per atom



4.
The following is a PBE calculation of an optimized crystal structure of BaSr3Ir, from Alexandria.

```
20
Lattice="0.0000 8.0390 8.0390 8.0390 0.0000 8.0390 8.0390 8.0390 0.0000" Properties=species:S:1:pos:R:3 pbc="T T T"
Ba 0.0000 0.0000 0.0000
Ba 4.0195 4.0195 0.0000
Ba 4.0195 0.0000 4.0195
Ba 0.0000 4.0195 4.0195
Sr 6.0292 6.0292 3.1465
Sr 6.0292 3.1465 6.0292
Sr 8.9120 6.0292 6.0292
Sr 10.0487 10.0487 7.1660
Sr 10.0487 7.1660 10.0487
Sr 12.9315 10.0487 10.0487
Sr 3.1465 6.0292 6.0292
Sr 6.0292 8.9120 6.0292
Sr 6.0292 6.0292 8.9120
Sr 7.1660 10.0487 10.0487
Sr 10.0487 12.9315 10.0487
Sr 10.0487 10.0487 12.9315
Ir 8.0390 4.0195 4.0195
Ir 4.0195 8.0390 4.0195
Ir 4.0195 4.0195 8.0390
Ir 8.0390 8.0390 8.0390
```

Calculated values
density: 3.787 g/cm3
V: 51.952 A^3/atom
calculated formation energy: 0.051 eV per atom



5.
The following is a PBE calculation of an optimized crystal structure of LiAl3Au2, from Alexandria.

```
12
Lattice="3.9874 0.0000 0.0000 0.0000 8.1084 0.0000 0.0000 0.0000 6.3877" Properties=species:S:1:pos:R:3 pbc="T T T"
Li 0.0000 0.6389 0.0000
Li 0.0000 7.4694 3.1938
Al 0.0000 2.3780 3.8577
Al 0.0000 5.7303 0.6638
Al 1.9937 1.6028 1.8913
Al 1.9937 3.2774 5.8318
Al 1.9937 4.8310 2.6380
Al 1.9937 6.5056 5.0852
Au 0.0000 3.2652 1.4121
Au 0.0000 4.8431 4.6059
Au 1.9937 0.8896 4.4795
Au 1.9937 7.2188 1.2856
```

Calculated values
density: 7.748 g/cm3
V: 17.210 A^3/atom
calculated formation energy: -0.398 eV per atom



6.
The following is a PBE calculation of an optimized crystal structure of RbGeP2, from Alexandria.

```
8
Lattice="-3.7140 3.7140 3.9837 3.7140 -3.7140 3.9837 3.7140 3.7140 -3.9837" Properties=species:S:1:pos:R:3 pbc="T T T"
Rb 0.0000 0.0000 0.0000
Rb 0.0000 3.7140 1.9919
Ge 3.7140 0.0000 1.9919
Ge 0.0000 0.0000 3.9837
P 1.8570 2.6382 -0.9959
P 4.7898 1.8570 0.9959
P 1.8570 1.0758 2.9878
P -1.0758 1.8570 4.9796
```

Calculated values
density: 3.325 g/cm3
V: 27.475 A^3/atom
calculated formation energy: 0.024 eV per atom



7.
The following is a PBE calculation of an optimized crystal structure of LiU2Si4Pt3, from Alexandria.

```
10
Lattice="4.1394 0.0000 0.0000 0.0000 4.1394 0.0000 0.0000 0.0000 10.0390" Properties=species:S:1:pos:R:3 pbc="T T T"
Li 0.0000 0.0000 0.0000
U 0.0000 2.0697 7.5511
U 2.0697 0.0000 2.4880
Si 0.0000 0.0000 5.0195
Si 0.0000 2.0697 1.3619
Si 2.0697 0.0000 8.6771
Si 2.0697 2.0697 5.0195
Pt 0.0000 2.0697 3.7691
Pt 2.0697 0.0000 6.2699
Pt 2.0697 2.0697 0.0000
```

Calculated values
ΔE_f (raw): -0.684 eV per atom
density: 11.397 g/cm3
V: 17.201 A^3/atom



8.
The following is a PBE calculation of an optimized crystal structure of Pu3Ga5Rh6, from Alexandria.

```
28
Lattice="4.2489 0.0000 0.0000 0.0000 12.9432 0.0000 0.0000 0.0000 8.9531" Properties=species:S:1:pos:R:3 pbc="T T T"
Pu 1.0622 0.6476 2.2303
Pu 1.0622 5.8240 2.2303
Pu 1.0622 9.7074 2.0294
Pu 3.1867 3.2358 6.9237
Pu 3.1867 7.1192 6.7228
Pu 3.1867 12.2956 6.7228
Ga 1.0622 1.2946 7.8357
Ga 1.0622 5.1770 7.8357
Ga 1.0622 8.2178 4.6348
Ga 1.0622 9.7074 7.0822
Ga 1.0622 11.1970 4.6348
Ga 3.1867 1.7462 4.3184
Ga 3.1867 3.2358 1.8710
Ga 3.1867 4.7254 4.3184
Ga 3.1867 7.7661 1.1174
Ga 3.1867 11.6486 1.1174
Rh 1.0622 0.7495 5.3464
Rh 1.0622 3.2358 0.4787
Rh 1.0622 3.2358 3.6307
Rh 1.0622 5.7221 5.3464
Rh 1.0622 7.6066 8.6962
Rh 1.0622 11.8082 8.6962
Rh 3.1867 1.1350 0.2570
Rh 3.1867 5.3366 0.2570
Rh 3.1867 7.2211 3.6068
Rh 3.1867 9.7074 5.3225
Rh 3.1867 9.7074 8.4744
Rh 3.1867 12.1937 3.6068
```

Calculated values
density: 11.453 g/cm3
V: 17.585 A^3/atom
calculated formation energy: -0.615 eV per atom